! GGA-PBEsol BiAs2H, optimized geometry; values from VASP
&SYSTEM
  ibrav = 0, nat = 16, ntyp = 3
/
ATOMIC_SPECIES
Bi 208.98 Bi.upf
As 74.92 As.upf
H 1.01 H.upf
CELL_PARAMETERS angstrom
5.571 0.000 0.000
0.000 5.571 0.000
0.000 0.000 10.200
ATOMIC_POSITIONS angstrom
Bi 0.000 0.000 0.000
Bi 0.000 2.786 2.550
Bi 2.786 0.000 7.650
Bi 2.786 2.786 5.100
As 0.603 1.393 6.375
As 1.393 3.389 8.925
As 1.393 4.968 3.825
As 2.182 1.393 1.275
As 3.389 4.178 1.275
As 4.178 0.603 3.825
As 4.178 2.182 8.925
As 4.968 4.178 6.375
H 0.000 0.000 5.100
H 0.000 2.786 7.650
H 2.786 0.000 2.550
H 2.786 2.786 0.000
! - Crystal system: tetragonal
! - Uncorrected energy: -0.1466 Ha/atom
! - Magnetic moment: 0.000 μB per formula unit

---

! GGA-PBEsol Te2OsRh2, optimized geometry; values from VASP
&SYSTEM
  ibrav = 0, nat = 10, ntyp = 3
/
ATOMIC_SPECIES
Te 127.60 Te.upf
Os 190.23 Os.upf
Rh 102.91 Rh.upf
CELL_PARAMETERS angstrom
4.235 0.000 0.000
0.000 4.235 0.000
0.000 0.000 10.883
ATOMIC_POSITIONS angstrom
Te 0.000 2.117 2.721
Te 0.000 2.117 8.162
Te 2.117 0.000 2.721
Te 2.117 0.000 8.162
Os 0.000 0.000 0.000
Os 2.117 2.117 5.441
Rh 0.000 0.000 4.203
Rh 0.000 0.000 6.680
Rh 2.117 2.117 1.238
Rh 2.117 2.117 9.644
! - Crystal system: tetragonal
! - E_form (uncorrected): 1.087 eV per atom
! - Magnetic moment: 1.706 μB per formula unit

---

! GGA-PBEsol CdCu2As, optimized geometry; values from VASP
&SYSTEM
  ibrav = 0, nat = 4, ntyp = 3
/
ATOMIC_SPECIES
Cd 112.41 Cd.upf
Cu 63.55 Cu.upf
As 74.92 As.upf
CELL_PARAMETERS angstrom
4.010 0.000 0.000
0.000 4.010 0.000
0.000 0.000 3.747
ATOMIC_POSITIONS angstrom
Cd 0.000 0.000 0.000
Cu 0.000 2.005 1.874
Cu 2.005 0.000 1.874
As 2.005 2.005 0.000
! - Energy relative to the elements: 0.14 eV/atom
! - Crystal system: tetragonal
! - Magnetic moment: 0.000 μB per formula unit

---

! GGA-PBEsol Mg2ZnPb, optimized geometry; values from VASP
&SYSTEM
  ibrav = 0, nat = 8, ntyp = 3
/
ATOMIC_SPECIES
Mg 24.30 Mg.upf
Zn 65.41 Zn.upf
Pb 207.20 Pb.upf
CELL_PARAMETERS angstrom
9.248 0.000 0.000
0.000 3.325 0.000
-1.214 0.000 5.690
ATOMIC_POSITIONS angstrom
Mg 1.958 0.000 1.254
Mg 1.452 1.663 4.435
Mg 6.582 1.663 1.254
Mg 6.076 0.000 4.435
Zn 0.000 1.663 0.000
Zn 4.624 0.000 0.000
Pb -0.607 0.000 2.845
Pb 4.017 1.663 2.845
! - Energy relative to the elements: -0.01 eV/atom
! - Crystal system: monoclinic
! - Magnetic moment: 0.000 μB per formula unit

---

! GGA-PBEsol Tl2HgAu, optimized geometry; values from VASP
&SYSTEM
  ibrav = 0, nat = 8, ntyp = 3
/
ATOMIC_SPECIES
Tl 204.38 Tl.upf
Hg 200.59 Hg.upf
Au 196.97 Au.upf
CELL_PARAMETERS angstrom
4.559 0.000 0.000
0.000 4.559 0.000
0.000 0.000 9.159
ATOMIC_POSITIONS angstrom
Tl 0.000 0.000 0.000
Tl 0.000 2.279 2.290
Tl 2.279 0.000 6.869
Tl 2.279 2.279 4.579
Hg 0.000 2.279 6.869
Hg 2.279 0.000 2.290
Au 0.000 0.000 4.579
Au 2.279 2.279 0.000
! - Energy relative to the elements: 0.06 eV/atom
! - Crystal system: tetragonal
! - Magnetic moment: 0.000 μB per formula unit

---

! GGA-PBEsol TlCdPb2, optimized geometry; values from VASP
&SYSTEM
  ibrav = 0, nat = 4, ntyp = 3
/
ATOMIC_SPECIES
Tl 204.38 Tl.upf
Cd 112.41 Cd.upf
Pb 207.20 Pb.upf
CELL_PARAMETERS angstrom
3.399 0.000 0.000
0.000 4.664 0.000
-0.565 0.000 6.901
ATOMIC_POSITIONS angstrom
Tl 0.000 0.000 0.000
Cd -0.283 0.000 3.451
Pb 1.179 2.332 5.082
Pb 1.654 2.332 1.819
! - Energy relative to the elements: 0.04 eV/atom
! - Crystal system: monoclinic
! - Magnetic moment: 0.000 μB per formula unit

---

! GGA-PBEsol Zr2CoCu, optimized geometry; values from VASP
&SYSTEM
  ibrav = 0, nat = 4, ntyp = 3
/
ATOMIC_SPECIES
Zr 91.22 Zr.upf
Co 58.93 Co.upf
Cu 63.55 Cu.upf
CELL_PARAMETERS angstrom
3.285 0.000 0.000
0.000 4.059 0.000
-1.408 0.000 4.917
ATOMIC_POSITIONS angstrom
Zr 0.000 0.000 0.000
Zr 0.052 2.029 2.753
Co 1.647 2.029 0.580
Cu 1.679 0.000 2.162
! - Energy relative to the elements: -0.25 eV/atom
! - Crystal system: monoclinic
! - Magnetic moment: 0.000 μB per formula unit

---

! GGA-PBEsol Ca2LaOs, optimized geometry; values from VASP
&SYSTEM
  ibrav = 0, nat = 4, ntyp = 3
/
ATOMIC_SPECIES
Ca 40.08 Ca.upf
La 138.91 La.upf
Os 190.23 Os.upf
CELL_PARAMETERS angstrom
3.446 0.000 0.000
0.000 4.579 0.000
0.000 0.000 6.229
ATOMIC_POSITIONS angstrom
Ca 0.000 0.000 1.331
Ca 0.000 0.000 4.898
La 1.723 2.290 3.115
Os 1.723 2.290 0.000
! - Energy relative to the elements: 0.53 eV/atom
! - Crystal system: orthorhombic
! - Magnetic moment: 0.001 μB per formula unit